! HgOsPb2, optimized geometry, DFT PBE-GGA; values from VASP
&SYSTEM
  ibrav = 0, nat = 8, ntyp = 3
/
ATOMIC_SPECIES
Hg 200.59 Hg.upf
Os 190.23 Os.upf
Pb 207.20 Pb.upf
ATOMIC_POSITIONS angstrom
Hg 0.000 0.000 0.000
Hg 0.000 4.490 1.393
Os 4.490 0.000 1.393
Os 0.000 0.000 2.785
Pb 2.245 -1.256 2.089
Pb 3.234 2.245 0.696
Pb 2.245 5.746 -0.696
Pb 1.256 2.245 3.482
CELL_PARAMETERS angstrom
-4.490 4.490 2.785
4.490 -4.490 2.785
4.490 4.490 -2.785
! - Calculated total energy: -4.081 eV/atom
! - Mass density: 11.90 g cm⁻³
! - DOS at the Fermi energy: 6.03 states/eV/cell